# 1
{
  "formula": "RbTl3H",
  "functional": "GGA-PBE",
  "state": "optimized geometry",
  "cell": [[5.279, 0.000, 0.000], [0.000, 5.279, 0.000], [0.000, 0.000, 5.279]],
  "species": ["H", "Tl", "Tl", "Tl", "Rb"],
  "fractional_positions": [[0.000, 0.000, 0.000], [0.000, 0.500, 0.000], [0.000, 0.000, 0.500], [0.500, 0.000, 0.000], [0.500, 0.500, 0.500]],
  "space_group": "Pm-3m, No. 221",
  "final_energy_ev_per_atom": -2.06
}

# 2
{
  "formula": "Rb2TlH",
  "functional": "GGA-PBE",
  "state": "optimized geometry",
  "cell": [[-0.252, -1.282, -3.778], [-1.687, -3.534, -0.803], [-10.309, 3.232, -2.524]],
  "species": ["H", "Tl", "Rb", "Rb"],
  "fractional_positions": [[0.500, 0.500, 0.500], [0.000, 0.000, 0.000], [0.111, 0.111, 0.666], [0.889, 0.889, 0.334]],
  "space_group": "R-3m, No. 166",
  "final_energy_ev_per_atom": -1.84
}

# 3
{
  "formula": "RbTlH",
  "functional": "GGA-PBE",
  "state": "optimized geometry",
  "cell": [[4.035, 0.000, 0.000], [0.000, 4.035, 0.000], [0.000, 0.000, 10.393]],
  "species": ["Rb", "Rb", "Tl", "Tl", "H", "H"],
  "fractional_positions": [[0.000, 0.500, 0.649], [0.500, 0.000, 0.351], [0.000, 0.500, 0.090], [0.500, 0.000, 0.910], [0.000, 0.500, 0.358], [0.500, 0.000, 0.642]],
  "space_group": "P4/nmm, No. 129",
  "final_energy_ev_per_atom": -2.25
}

# 4
{
  "formula": "Rb2TlH2",
  "functional": "GGA-PBE",
  "state": "optimized geometry",
  "cell": [[-1.202, -4.133, -2.769], [2.263, -2.991, 3.483], [-4.967, -4.066, 3.496]],
  "species": ["H", "H", "Tl", "Rb", "Rb"],
  "fractional_positions": [[0.750, 0.250, 0.500], [0.250, 0.750, 0.500], [0.000, 0.000, 0.000], [0.334, 0.334, 0.332], [0.666, 0.666, 0.668]],
  "space_group": "I4/mmm, No. 139",
  "final_energy_ev_per_atom": -2.00
}

# 5
{
  "formula": "RbTl2H8",
  "functional": "GGA-PBE",
  "state": "optimized geometry",
  "cell": [[5.998, 0.035, -0.099], [0.000, 4.178, 1.448], [-0.133, 0.011, 6.718]],
  "species": ["Rb", "Tl", "Tl", "H", "H", "H", "H", "H", "H", "H", "H"],
  "fractional_positions": [[0.000, 0.000, 0.000], [0.438, 0.368, 0.265], [0.562, 0.632, 0.735], [0.061, 0.503, 0.488], [0.061, 0.009, 0.488], [0.939, 0.497, 0.512], [0.290, 0.537, 0.927], [0.939, 0.991, 0.512], [0.584, 0.142, 0.715], [0.416, 0.858, 0.285], [0.710, 0.463, 0.073]],
  "space_group": "C2/m, No. 12",
  "final_energy_ev_per_atom": -2.78
}

# 6
{
  "formula": "Rb2TlH",
  "functional": "GGA-PBE",
  "state": "optimized geometry",
  "cell": [[8.504, 0.000, 0.000], [0.000, 8.504, 0.000], [4.252, 4.252, 4.597]],
  "species": ["H", "H", "Tl", "Tl", "Rb", "Rb", "Rb", "Rb"],
  "fractional_positions": [[0.500, 0.500, 0.000], [0.250, 0.750, 0.500], [0.000, 0.000, 0.000], [0.750, 0.250, 0.500], [0.518, 0.125, 0.250], [0.232, 0.625, 0.250], [0.375, 0.482, 0.750], [0.875, 0.768, 0.750]],
  "space_group": "I-42d, No. 122",
  "final_energy_ev_per_atom": -1.81
}

# 7
{
  "formula": "RbTlH",
  "functional": "GGA-PBE",
  "state": "optimized geometry",
  "cell": [[-4.487, -3.924, 1.766], [0.695, -2.230, -3.188], [1.943, -0.707, 3.368]],
  "species": ["H", "Tl", "Rb"],
  "fractional_positions": [[0.018, 0.000, 0.000], [0.236, 0.333, 0.667], [0.746, 0.667, 0.333]],
  "space_group": "P3m1, No. 156",
  "final_energy_ev_per_atom": -2.03
}

# 8
{
  "formula": "Rb2TlH",
  "functional": "GGA-PBE",
  "state": "optimized geometry",
  "cell": [[3.700, 0.000, 0.000], [0.000, 3.700, 0.000], [0.000, 0.000, 9.577]],
  "species": ["H", "Tl", "Rb", "Rb"],
  "fractional_positions": [[0.500, 0.500, 0.000], [0.500, 0.500, 0.500], [0.000, 0.000, 0.814], [0.000, 0.000, 0.186]],
  "space_group": "P4/mmm, No. 123",
  "final_energy_ev_per_atom": -1.91
}

# 9
{
  "formula": "Rb2TlH",
  "functional": "GGA-PBE",
  "state": "optimized geometry",
  "cell": [[4.481, -0.547, 4.138], [-1.200, -2.372, 5.518], [2.141, -5.544, 1.481]],
  "species": ["H", "Tl", "Rb", "Rb"],
  "fractional_positions": [[0.000, 0.000, 0.000], [0.500, 0.500, 0.500], [0.250, 0.250, 0.250], [0.750, 0.750, 0.750]],
  "space_group": "Fm-3m, No. 225",
  "final_energy_ev_per_atom": -1.56
}

# 10
{
  "formula": "Rb2TlH2",
  "functional": "GGA-PBE",
  "state": "optimized geometry",
  "cell": [[-7.311, -0.621, -3.540], [1.268, -7.954, -1.223], [-1.645, -0.807, 3.540]],
  "species": ["H", "H", "H", "H", "Tl", "Tl", "Rb", "Rb", "Rb", "Rb"],
  "fractional_positions": [[0.340, 0.840, 0.000], [0.840, 0.660, 0.000], [0.660, 0.160, 0.000], [0.160, 0.340, 0.000], [0.000, 0.000, 0.000], [0.500, 0.500, 0.000], [0.151, 0.651, 0.500], [0.651, 0.849, 0.500], [0.849, 0.349, 0.500], [0.349, 0.151, 0.500]],
  "space_group": "P4/mbm, No. 127",
  "final_energy_ev_per_atom": -2.15
}

# 11
{
  "formula": "Rb3TlH",
  "functional": "GGA-PBE",
  "state": "optimized geometry",
  "cell": [[5.924, 0.000, 0.000], [0.000, 5.924, 0.000], [0.000, 0.000, 5.924]],
  "species": ["H", "Tl", "Rb", "Rb", "Rb"],
  "fractional_positions": [[0.000, 0.000, 0.000], [0.500, 0.500, 0.500], [0.000, 0.500, 0.000], [0.000, 0.000, 0.500], [0.500, 0.000, 0.000]],
  "space_group": "Pm-3m, No. 221",
  "final_energy_ev_per_atom": -1.73
}

# 12
{
  "formula": "RbTlH",
  "functional": "GGA-PBE",
  "state": "optimized geometry",
  "cell": [[4.255, 0.000, 0.000], [0.000, 3.963, 0.000], [0.000, 0.000, 5.355]],
  "species": ["Rb", "Tl", "H"],
  "fractional_positions": [[0.000, 0.500, 0.396], [0.500, 0.000, 0.930], [0.500, 0.500, 0.725]],
  "space_group": "Pmm2, No. 25",
  "final_energy_ev_per_atom": -2.12
}

# 13
{
  "formula": "RbTlH",
  "functional": "GGA-PBE",
  "state": "optimized geometry",
  "cell": [[-1.935, -1.550, -2.809], [-1.277, -4.628, 3.433], [-3.101, 1.740, 1.192]],
  "species": ["Rb", "Tl", "H"],
  "fractional_positions": [[0.000, 0.780, 0.500], [0.500, 0.264, 0.000], [0.500, 0.611, 0.000]],
  "space_group": "Cmm2, No. 35",
  "final_energy_ev_per_atom": -2.28
}

# 14
{
  "formula": "Rb2TlH4",
  "functional": "GGA-PBE",
  "state": "optimized geometry",
  "cell": [[-0.517, 5.885, -0.702], [-2.298, -0.882, -5.706], [-8.009, -0.253, 3.779]],
  "species": ["Rb", "Rb", "Rb", "Rb", "Tl", "Tl", "H", "H", "H", "H", "H", "H", "H", "H"],
  "fractional_positions": [[0.250, 0.289, 0.989], [0.750, 0.711, 0.011], [0.750, 0.727, 0.494], [0.250, 0.273, 0.506], [0.250, 0.778, 0.759], [0.750, 0.222, 0.241], [0.485, 0.567, 0.750], [0.250, 0.823, 0.990], [0.750, 0.177, 0.010], [0.015, 0.567, 0.750], [0.750, 0.183, 0.467], [0.985, 0.433, 0.250], [0.515, 0.433, 0.250], [0.250, 0.817, 0.533]],
  "space_group": "P2_1/m, No. 11",
  "final_energy_ev_per_atom": -2.43
}

# 15
{
  "formula": "Rb2TlHW",
  "functional": "GGA-PBE",
  "state": "optimized geometry",
  "cell": [[5.352, 0.000, 0.000], [0.000, 5.426, 0.000], [0.000, 0.000, 5.352]],
  "species": ["H", "Tl", "Rb", "Rb", "W"],
  "fractional_positions": [[0.000, 0.000, 0.000], [0.000, 0.500, 0.000], [0.000, 0.000, 0.500], [0.500, 0.000, 0.000], [0.500, 0.500, 0.500]],
  "space_group": "P4/mmm, No. 123",
  "final_energy_ev_per_atom": -2.90
}

# 16
{
  "formula": "RbTlZnH4",
  "functional": "GGA-PBE",
  "state": "optimized geometry",
  "cell": [[-4.309, -1.730, 3.788], [3.900, -3.990, -2.186], [4.956, 1.405, 6.279]],
  "species": ["Rb", "Rb", "Tl", "Tl", "Zn", "Zn", "H", "H", "H", "H", "H", "H", "H", "H"],
  "fractional_positions": [[0.818, 0.182, 0.250], [0.182, 0.818, 0.750], [0.500, 0.500, 0.500], [0.500, 0.500, 0.000], [0.162, 0.838, 0.250], [0.838, 0.162, 0.750], [0.160, 0.298, 0.750], [0.702, 0.840, 0.750], [0.740, 0.260, 0.912], [0.740, 0.260, 0.588], [0.260, 0.740, 0.088], [0.260, 0.740, 0.412], [0.840, 0.702, 0.250], [0.298, 0.160, 0.250]],
  "space_group": "Cmcm, No. 63",
  "final_energy_ev_per_atom": -2.59
}

# 17
{
  "formula": "Rb2TlZn2H6",
  "functional": "GGA-PBE",
  "state": "optimized geometry",
  "cell": [[-1.532, 3.686, -4.227], [3.240, -4.976, -1.515], [-7.378, -1.036, 1.771]],
  "species": ["Rb", "Rb", "Tl", "Zn", "Zn", "H", "H", "H", "H", "H", "H"],
  "fractional_positions": [[0.712, 0.424, 0.201], [0.288, 0.576, 0.799], [0.500, 0.000, 0.500], [0.963, 0.926, 0.800], [0.037, 0.074, 0.200], [0.785, 0.569, 0.664], [0.198, 0.912, 0.186], [0.287, 0.088, 0.814], [0.802, 0.088, 0.814], [0.713, 0.912, 0.186], [0.215, 0.431, 0.336]],
  "space_group": "C2/m, No. 12",
  "final_energy_ev_per_atom": -2.47
}

# 18
{
  "formula": "RbV3H",
  "functional": "GGA-PBE",
  "state": "optimized geometry",
  "cell": [[-3.488, 2.387, 1.563], [-2.811, -3.301, -1.231], [0.492, -1.927, 4.044]],
  "species": ["H", "Rb", "V", "V", "V"],
  "fractional_positions": [[0.500, 0.500, 0.500], [0.000, 0.000, 0.000], [0.000, 0.500, 0.000], [0.000, 0.000, 0.500], [0.500, 0.000, 0.000]],
  "space_group": "Pm-3m, No. 221",
  "final_energy_ev_per_atom": -3.02
}

# 19
{
  "formula": "RbV3H",
  "functional": "GGA-PBE",
  "state": "optimized geometry",
  "cell": [[-3.509, 0.156, -2.298], [1.934, -2.076, -3.093], [-1.252, -3.644, 1.664]],
  "species": ["H", "Rb", "V", "V", "V"],
  "fractional_positions": [[0.000, 0.000, 0.000], [0.500, 0.500, 0.500], [0.000, 0.500, 0.000], [0.000, 0.000, 0.500], [0.500, 0.000, 0.000]],
  "space_group": "Pm-3m, No. 221",
  "final_energy_ev_per_atom": -4.86
}

# 20
{
  "formula": "RbV2H",
  "functional": "GGA-PBE",
  "state": "optimized geometry",
  "cell": [[-5.391, 2.572, 1.258], [-2.538, -5.534, 0.437], [-3.022, -1.579, 5.085]],
  "species": ["H", "H", "Rb", "Rb", "V", "V", "V", "V"],
  "fractional_positions": [[0.500, 0.500, 0.000], [0.250, 0.750, 0.500], [0.000, 0.000, 0.000], [0.750, 0.250, 0.500], [0.375, 0.125, 0.250], [0.375, 0.625, 0.250], [0.375, 0.625, 0.750], [0.875, 0.625, 0.750]],
  "space_group": "I4_1/amd, No. 141",
  "final_energy_ev_per_atom": -4.61
}